Version a
Density functional theory data (PBE) for an optimized crystal structure of RbTa3Cu.

Results
DOS(E_F)   1.2749 states/eV/atom

Lattice parameters (Å, degrees): 4.760 4.760 4.760 90.00 90.00 90.00
Positions (direct):
1 Cu 0.500 0.500 0.500
2 Rb 0.000 0.000 0.000
3 Ta 0.000 0.500 0.000
4 Ta 0.000 0.000 0.500
5 Ta 0.500 0.000 0.000

Version b
Density functional theory data (PBE) for an optimized crystal structure of RbTa3Cu.

Results
DOS(E_F)   1.5573 states/eV/atom

Lattice parameters (Å, degrees): 4.889 4.889 4.889 90.00 90.00 90.00
Positions (direct):
1 Cu 0.000 0.000 0.000
2 Rb 0.500 0.500 0.500
3 Ta 0.000 0.500 0.000
4 Ta 0.000 0.000 0.500
5 Ta 0.500 0.000 0.000

Last place for stability: version a

Version a
Density functional theory data (PBE) for an optimized crystal structure of RbCuTc3.

Results
DOS(E_F)   1.2350 states/eV/atom

Lattice parameters (Å, degrees): 4.652 4.652 4.652 90.00 90.00 90.00
Positions (direct):
1 Cu 0.500 0.500 0.500
2 Tc 0.000 0.500 0.000
3 Tc 0.000 0.000 0.500
4 Tc 0.500 0.000 0.000
5 Rb 0.000 0.000 0.000

Version b
Density functional theory data (PBE) for an optimized crystal structure of RbCuTc3.

Results
DOS(E_F)   1.1753 states/eV/atom

Lattice parameters (Å, degrees): 4.837 4.837 4.837 90.00 90.00 90.00
Positions (direct):
1 Cu 0.000 0.000 0.000
2 Tc 0.000 0.500 0.000
3 Tc 0.000 0.000 0.500
4 Tc 0.500 0.000 0.000
5 Rb 0.500 0.500 0.500

Last place for stability: version a